YPd6Au5 | PBE-GGA | relaxed

Summary:
For the size of the total moment, the calculation gives 0.0 μB/f.u. For the formation energy, the calculation gives -357 meV/atom. The polymorph energy (0 for the lowest one) is 0.000 eV/atom.

```
YPd6Au5
1.0
8.883 -0.476 0.000
2.221 3.601 0.000
1.111 1.801 6.254
Y Pd Au
1 6 5
Direct
0.000 0.000 0.000
0.746 0.085 0.337
0.254 0.578 0.337
0.251 0.248 0.000
0.749 0.752 0.000
0.746 0.422 0.663
0.254 0.915 0.663
0.500 0.164 0.672
0.000 0.331 0.339
0.500 0.500 0.000
0.000 0.669 0.661
0.500 0.836 0.328
```